1.
This record from Alexandria describes a relaxed TbSm6Er12 crystal. The functional is PBE.

Calculated values
Symmetry ... R-3m (166)
Polymorph energy (0 for the lowest one) ... 0.000 eV per formula unit
Energy of formation from the pure elements ... 2.32 eV per formula unit

a b c (Å): 8.5962 8.5962 8.5962
angles (deg): 79.73 79.73 79.73
Atoms (fractional coordinates):
Sm (0.2313, 0.2313, 0.8367)
Sm (0.1633, 0.7687, 0.7687)
Sm (0.2313, 0.8367, 0.2313)
Sm (0.7687, 0.1633, 0.7687)
Sm (0.7687, 0.7687, 0.1633)
Sm (0.8367, 0.2313, 0.2313)
Er (0.4853, 0.4853, 0.8041)
Er (0.1367, 0.1367, 0.4847)
Er (0.8633, 0.5153, 0.8633)
Er (0.8633, 0.8633, 0.5153)
Er (0.4853, 0.8041, 0.4853)
Er (0.5147, 0.1959, 0.5147)
Er (0.5147, 0.5147, 0.1959)
Er (0.1959, 0.5147, 0.5147)
Er (0.5153, 0.8633, 0.8633)
Er (0.8041, 0.4853, 0.4853)
Er (0.4847, 0.1367, 0.1367)
Er (0.1367, 0.4847, 0.1367)
Tb (0.0000, 0.0000, 0.0000)



2.
This record from Alexandria describes a relaxed Zr4TeAs crystal. The functional is PBE.

Calculated values
ΔE_f (raw) ... 88 meV per atom
Symmetry ... F-43m (216)

a b c (Å): 5.7847 5.7847 5.7847
angles (deg): 60.00 60.00 60.00
Atoms (fractional coordinates):
Zr (0.3752, 0.8743, 0.3752)
Zr (0.8743, 0.3752, 0.3752)
Zr (0.3752, 0.3752, 0.8743)
Zr (0.3752, 0.3752, 0.3752)
Te (0.0000, 0.0000, 0.0000)
As (0.7500, 0.7500, 0.7500)